[1]
Below is an optimized crystal structure of La7PrEr3, with properties calculated at the PBE-GGA level.

Values from the calculation:
**Crystal system**: trigonal
**Space-group type**: P3m1 (156)
**DFT formation energy**: 0.18 eV per atom

a b c (Å): 8.623 7.315 7.316
angles (deg): 120.00 90.01 90.00
Atoms (fractional coordinates):
La: 0.098 0.164 0.836
La: 0.098 0.164 0.327
La: 0.133 0.667 0.333
La: 0.468 0.836 0.164
La: 0.468 0.328 0.164
La: 0.468 0.836 0.673
La: 0.098 0.673 0.836
Pr: 0.436 0.333 0.667
Er: 0.783 0.500 0.500
Er: 0.783 0.500 0.000
Er: 0.783 0.000 0.500

---

[2]
Below is an optimized crystal structure of PrThCrN4, with properties calculated at the PBE-GGA level.

Values from the calculation:
**E_form (uncorrected)**: -1.0783 eV/atom
**Crystal system**: monoclinic
**Space-group type**: P2_1/m (11)

a b c (Å): 5.853 5.451 6.940
angles (deg): 90.00 107.65 90.00
Atoms (fractional coordinates):
Pr: 0.712 0.750 0.926
Pr: 0.288 0.250 0.074
Th: 0.772 0.750 0.445
Th: 0.228 0.250 0.555
Cr: 0.232 0.750 0.300
Cr: 0.768 0.250 0.700
N: 0.968 0.496 0.739
N: 0.032 0.996 0.261
N: 0.032 0.504 0.261
N: 0.968 0.004 0.739
N: 0.427 0.750 0.145
N: 0.573 0.250 0.855
N: 0.407 0.750 0.559
N: 0.593 0.250 0.441

---

[3]
Below is an optimized crystal structure of PaV3S6, with properties calculated at the PBE-GGA level.

Values from the calculation:
**E_form (uncorrected)**: -1.0609 eV/atom
**Crystal system**: monoclinic
**Space-group type**: P2_1/m (11)

a b c (Å): 3.588 10.023 10.039
angles (deg): 110.20 90.00 90.00
Atoms (fractional coordinates):
Pa: 0.750 0.061 0.717
Pa: 0.250 0.939 0.283
V: 0.750 0.461 0.878
V: 0.250 0.539 0.122
V: 0.750 0.674 0.504
V: 0.250 0.326 0.496
V: 0.750 0.128 0.073
V: 0.250 0.872 0.927
S: 0.750 0.480 0.616
S: 0.250 0.520 0.384
S: 0.750 0.897 0.077
S: 0.250 0.103 0.923
S: 0.750 0.378 0.069
S: 0.250 0.622 0.931
S: 0.750 0.711 0.267
S: 0.250 0.289 0.733
S: 0.750 0.125 0.465
S: 0.250 0.875 0.535
S: 0.750 0.801 0.756
S: 0.250 0.199 0.244